# 1
VASP calculation (PBE-GGA) on a geometry-optimized La4IrPdBr2 structure.

```
8
Lattice="7.3647 0.0000 0.0000 0.0000 4.2502 0.0000 -2.4579 0.0000 7.9144" Properties=species:S:1:pos:R:3 pbc="T T T"
La 1.1643 0.0000 1.5636
La -0.0772 2.1251 6.3458
La 4.9840 2.1251 1.5686
La 3.7425 0.0000 6.3508
Ir 0.0000 2.1251 0.0000
Pd 3.6824 0.0000 0.0000
Br -1.2290 0.0000 3.9572
Br 2.4534 2.1251 3.9572
```

Properties
The value obtained for the formation energy from raw total energies is -1.17 eV/atom. The density of states at the Fermi level is 4.96 states/eV/cell.

***

# 2
VASP calculation (PBE-GGA) on a geometry-optimized La8Ir3PdBr4 structure.

```
16
Lattice="4.2322 2.4434 7.9065 -4.2322 2.4434 7.9065 0.0000 -4.8869 7.9065" Properties=species:S:1:pos:R:3 pbc="T T T"
La -2.1755 -1.2560 13.4158
La 0.0000 0.0000 5.5091
La 0.0000 -2.5121 10.3035
La -2.1755 1.2560 10.3035
La 2.1755 -1.2560 13.4158
La 0.0000 2.5121 13.4158
La 0.0000 0.0000 18.2103
La 2.1755 1.2561 10.3035
Ir -4.2321 0.0000 11.8597
Ir -2.1161 1.2217 3.9532
Ir 2.1161 1.2217 3.9532
Pd 0.0000 0.0000 11.8597
Br 0.0000 0.0000 0.0000
Br -2.1161 -1.2217 7.9065
Br -2.1161 1.2217 15.8129
Br 0.0000 2.4434 7.9064
```

Properties
The value obtained for the formation energy from raw total energies is -1.21 eV/atom. The density of states at the Fermi level is 7.95 states/eV/cell.

***

# 3
VASP calculation (PBE-GGA) on a geometry-optimized LaPmIrBr structure.

```
4
Lattice="2.0811 1.2015 7.9423 -2.0811 1.2015 7.9423 0.0000 -2.4030 7.9423" Properties=species:S:1:pos:R:3 pbc="T T T"
La 0.0000 0.0000 0.0000
Pm 0.0000 0.0000 18.9356
Ir 0.0000 0.0000 9.4707
Br 0.0000 0.0000 5.3731
```

Properties
The value obtained for the formation energy from raw total energies is -1.15 eV/atom. The density of states at the Fermi level is 1.41 states/eV/cell.

***

# 4
VASP calculation (PBE-GGA) on a geometry-optimized LaPrIrBr structure.

```
4
Lattice="2.0949 1.2095 8.0001 -2.0949 1.2095 8.0001 0.0000 -2.4190 8.0001" Properties=species:S:1:pos:R:3 pbc="T T T"
La 0.0000 0.0000 0.0000
Pr 0.0000 0.0000 4.9197
Ir 0.0000 0.0000 14.4877
Br 0.0000 0.0000 18.5690
```

Properties
The value obtained for the formation energy from raw total energies is -1.14 eV/atom. The density of states at the Fermi level is 1.52 states/eV/cell.

***

# 5
VASP calculation (PBE-GGA) on a geometry-optimized La6IrPt2Br3 structure.

```
12
Lattice="3.6927 -6.3980 0.0000 3.6927 6.3980 0.0000 -2.4609 0.0000 7.8793" Properties=species:S:1:pos:R:3 pbc="T T T"
La 1.2040 2.0852 1.5580
La -0.0550 0.0000 6.3210
La 1.2040 -2.0852 1.5580
La 3.7204 2.0852 6.3212
La 4.9794 0.0000 1.5583
La 3.7204 -2.0852 6.3212
Ir 0.0000 0.0000 0.0000
Pt 3.6927 2.1329 0.0000
Pt 3.6927 -2.1329 0.0000
Br 2.4622 4.2720 3.9396
Br 2.4622 0.0000 3.9396
Br 2.4622 -4.2720 3.9396
```

Properties
The value obtained for the formation energy from raw total energies is -1.32 eV/atom. The density of states at the Fermi level is 8.63 states/eV/cell.

***

# 6
VASP calculation (PBE-GGA) on a geometry-optimized La6Ir2PtBr2 structure.

```
11
Lattice="3.6928 -6.3797 0.0000 3.6928 6.3797 0.0000 -2.4292 0.0000 7.6169" Properties=species:S:1:pos:R:3 pbc="T T T"
La -0.0156 2.1496 6.0748
La 1.1533 0.0000 1.5331
La -0.0156 -2.1496 6.0748
La 4.9720 2.1496 1.5421
La 3.8031 0.0000 6.0838
La 4.9720 -2.1496 1.5421
Ir 3.6928 4.2199 0.0000
Ir 3.6928 -4.2199 0.0000
Pt 3.6928 0.0000 0.0000
Br 2.4782 2.1138 3.8084
Br 2.4782 -2.1138 3.8084
```

Properties
The value obtained for the formation energy from raw total energies is -1.10 eV/atom. The density of states at the Fermi level is 6.09 states/eV/cell.

***

# 7
VASP calculation (PBE-GGA) on a geometry-optimized La4IrPtBr2 structure.

```
8
Lattice="7.3739 0.0000 0.0000 0.0000 4.2483 0.0000 -2.4731 0.0000 7.8878" Properties=species:S:1:pos:R:3 pbc="T T T"
La 1.1837 0.0000 1.5499
La -0.0644 2.1242 6.3370
La 4.9652 2.1242 1.5508
La 3.7171 0.0000 6.3380
Ir 0.0000 2.1242 0.0000
Pt 3.6869 0.0000 0.0000
Br -1.2366 0.0000 3.9439
Br 2.4504 2.1242 3.9439
```

Properties
The value obtained for the formation energy from raw total energies is -1.30 eV/atom. The density of states at the Fermi level is 4.72 states/eV/cell.

***

# 8
VASP calculation (PBE-GGA) on a geometry-optimized La8Ir3PtBr4 structure.

```
16
Lattice="4.2328 2.4438 7.8851 -4.2328 2.4438 7.8851 0.0000 -4.8876 7.8851" Properties=species:S:1:pos:R:3 pbc="T T T"
La -2.1573 -1.2455 13.3739
La 0.0000 0.0000 5.4925
La 0.0000 -2.4911 10.2814
La -2.1573 1.2455 10.2814
La 2.1573 -1.2455 13.3738
La 0.0000 2.4911 13.3738
La 0.0000 0.0000 18.1627
La 2.1573 1.2455 10.2814
Ir -4.2328 0.0000 11.8276
Ir -2.1164 1.2219 3.9425
Ir 2.1164 1.2219 3.9425
Pt 0.0000 0.0000 11.8276
Br 0.0000 0.0000 0.0000
Br -2.1164 -1.2219 7.8851
Br -2.1164 1.2219 15.7702
Br 0.0000 2.4438 7.8851
```

Properties
The value obtained for the formation energy from raw total energies is -1.27 eV/atom. The density of states at the Fermi level is 7.97 states/eV/cell.

***

# 9
VASP calculation (PBE-GGA) on a geometry-optimized La8IrPt3Br4 structure.

```
16
Lattice="4.2701 2.4653 7.8717 -4.2701 2.4653 7.8717 0.0000 -4.9307 7.8717" Properties=species:S:1:pos:R:3 pbc="T T T"
La 0.0000 0.0000 5.4941
La -2.0932 -1.2085 13.3677
La 0.0000 -2.4170 10.2475
La -2.0932 1.2085 10.2475
La 2.0932 -1.2085 13.3677
La 0.0000 2.4170 13.3677
La 2.0932 1.2085 10.2475
La 0.0000 0.0000 18.1210
Ir 0.0000 0.0000 11.8076
Pt -4.2701 0.0000 11.8076
Pt -2.1350 1.2327 3.9358
Pt 2.1350 1.2327 3.9359
Br 0.0000 0.0000 0.0000
Br -2.1350 -1.2327 7.8717
Br -2.1350 1.2327 15.7434
Br 0.0000 2.4653 7.8717
```

Properties
The value obtained for the formation energy from raw total energies is -1.33 eV/atom. The density of states at the Fermi level is 11.85 states/eV/cell.

***

# 10
VASP calculation (PBE-GGA) on a geometry-optimized La6Ir2RhBr3 structure.

```
12
Lattice="3.6419 -6.3073 0.0000 3.6419 6.3073 0.0000 -2.4256 0.0000 7.9190" Properties=species:S:1:pos:R:3 pbc="T T T"
La -0.0020 2.1100 6.3700
La 1.2041 0.0000 1.5494
La -0.0020 -2.1100 6.3700
La 4.8602 2.1100 1.5489
La 3.6542 0.0000 6.3695
La 4.8602 -2.1100 1.5489
Ir 3.6419 4.2049 0.0000
Ir 3.6419 -4.2049 0.0000
Rh 3.6419 0.0000 0.0000
Br -1.2128 0.0000 3.9595
Br 2.4291 2.1049 3.9595
Br 2.4291 -2.1049 3.9595
```

Properties
The value obtained for the formation energy from raw total energies is -1.23 eV/atom. The density of states at the Fermi level is 4.62 states/eV/cell.

***

# 11
VASP calculation (PBE-GGA) on a geometry-optimized La6IrRh2Br3 structure.

```
12
Lattice="3.6315 -6.2900 0.0000 3.6315 6.2900 0.0000 -2.4196 0.0000 7.9369" Properties=species:S:1:pos:R:3 pbc="T T T"
La 1.2060 2.0887 1.5570
La -0.0068 0.0000 6.3800
La 1.2060 -2.0887 1.5570
La 3.6374 2.0887 6.3799
La 4.8502 0.0000 1.5569
La 3.6374 -2.0887 6.3799
Ir 0.0000 0.0000 0.0000
Rh 3.6315 2.0970 0.0000
Rh 3.6315 -2.0970 0.0000
Br 2.4217 4.1932 3.9685
Br 2.4217 0.0000 3.9685
Br 2.4217 -4.1932 3.9685
```

Properties
The value obtained for the formation energy from raw total energies is -1.21 eV/atom. The density of states at the Fermi level is 4.47 states/eV/cell.

***

# 12
VASP calculation (PBE-GGA) on a geometry-optimized La6Ir2RuBr3 structure.

```
12
Lattice="9.9557 -2.0936 0.0000 9.9557 2.0936 0.0000 -3.3484 0.0000 8.6487" Properties=species:S:1:pos:R:3 pbc="T T T"
La -0.5172 0.0000 1.8810
La 4.9052 0.0000 3.8673
La 3.9449 0.0000 7.7007
La 12.6181 0.0000 0.9480
La 11.6578 0.0000 4.7814
La 17.0802 0.0000 6.7676
Ir 2.2067 0.0000 2.8883
Ir 14.3563 0.0000 5.7603
Ru 9.9557 0.0000 0.0000
Br 0.5131 0.0000 7.2074
Br 8.2815 0.0000 4.3243
Br 16.0499 0.0000 1.4413
```

Properties
The value obtained for the formation energy from raw total energies is -1.14 eV/atom. The density of states at the Fermi level is 5.72 states/eV/cell.

***

# 13
VASP calculation (PBE-GGA) on a geometry-optimized La4IrRuBr2 structure.

```
8
Lattice="7.2359 0.0000 0.0000 0.0000 4.1851 0.0000 -2.4226 0.0000 7.9093" Properties=species:S:1:pos:R:3 pbc="T T T"
La 1.1769 0.0000 1.5503
La -0.0387 2.0926 6.3669
La 4.8520 2.0926 1.5424
La 3.6364 0.0000 6.3590
Ir 3.6180 0.0000 0.0000
Ru 0.0000 2.0926 0.0000
Br -1.2113 0.0000 3.9546
Br 2.4067 2.0926 3.9546
```

Properties
The value obtained for the formation energy from raw total energies is -1.08 eV/atom. The density of states at the Fermi level is 4.04 states/eV/cell.

***

# 14
VASP calculation (PBE-GGA) on a geometry-optimized La8Ir3RuBr4 structure.

```
16
Lattice="4.1923 2.4204 7.9177 -4.1923 2.4204 7.9177 0.0000 -4.8409 7.9177" Properties=species:S:1:pos:R:3 pbc="T T T"
La 0.0000 0.0000 5.4943
La -2.0716 -1.1960 13.4263
La 0.0000 -2.3921 10.3267
La -2.0716 1.1961 10.3267
La 2.0716 -1.1960 13.4263
La 0.0000 2.3921 13.4263
La 2.0716 1.1960 10.3267
La 0.0000 0.0000 18.2587
Ir -4.1923 0.0000 11.8765
Ir -2.0962 1.2102 3.9588
Ir 2.0962 1.2102 3.9588
Ru 0.0000 0.0000 11.8765
Br 0.0000 0.0000 0.0000
Br -2.0962 -1.2102 7.9177
Br -2.0962 1.2102 15.8353
Br 0.0000 2.4204 7.9177
```

Properties
The value obtained for the formation energy from raw total energies is -1.17 eV/atom. The density of states at the Fermi level is 5.34 states/eV/cell.

***

# 15
VASP calculation (PBE-GGA) on a geometry-optimized La6IrRu2Br3 structure.

```
12
Lattice="3.6153 -6.2627 0.0000 3.6153 6.2627 0.0000 -2.4117 0.0000 7.9044" Properties=species:S:1:pos:R:3 pbc="T T T"
La -0.0165 2.1138 6.3579
La 1.1733 0.0000 1.5471
La -0.0165 -2.1138 6.3579
La 4.8354 2.1138 1.5465
La 3.6456 0.0000 6.3574
La 4.8354 -2.1138 1.5465
Ir 3.6153 0.0000 0.0000
Ru 3.6153 4.1774 0.0000
Ru 3.6153 -4.1774 0.0000
Br -1.2058 0.0000 3.9522
Br 2.4094 2.1077 3.9522
Br 2.4094 -2.1077 3.9522
```

Properties
The value obtained for the formation energy from raw total energies is -1.03 eV/atom. The density of states at the Fermi level is 7.10 states/eV/cell.

***

# 16
VASP calculation (PBE-GGA) on a geometry-optimized La8IrRu3Br3 structure.

```
15
Lattice="7.2388 -4.1792 0.0000 7.2388 4.1792 0.0000 -4.8273 0.0000 7.9695" Properties=species:S:1:pos:R:3 pbc="T T T"
La 3.6158 2.1110 5.5135
La 0.0171 0.0000 5.5350
La 6.0346 2.1110 2.4560
La 2.4037 0.0000 2.4583
La 7.2467 0.0000 5.5111
La 3.6158 -2.1110 5.5135
La 9.6333 0.0000 2.4345
La 6.0346 -2.1110 2.4560
Ir 4.8252 0.0000 3.9847
Ru -2.4136 0.0000 3.9847
Ru 1.2058 2.0896 3.9847
Ru 1.2058 -2.0896 3.9847
Br 3.6194 2.0896 0.0000
Br 3.6194 -2.0896 0.0000
Br 7.2388 0.0000 0.0000
```

Properties
The value obtained for the formation energy from raw total energies is -0.89 eV/atom. The density of states at the Fermi level is 7.27 states/eV/cell.

***

# 17
VASP calculation (PBE-GGA) on a geometry-optimized La8IrRu3Br4 structure.

```
16
Lattice="4.1741 2.4099 7.8991 -4.1741 2.4099 7.8991 0.0000 -4.8198 7.8991" Properties=species:S:1:pos:R:3 pbc="T T T"
La -2.1114 -1.2190 13.3921
La 0.0000 0.0000 5.4984
La 0.0000 -2.4381 10.3053
La -2.1114 1.2190 10.3053
La 2.1114 -1.2190 13.3921
La 0.0000 2.4381 13.3921
La 0.0000 0.0000 18.1990
La 2.1114 1.2190 10.3053
Ir 0.0000 0.0000 11.8487
Ru -4.1741 0.0000 11.8487
Ru -2.0870 1.2049 3.9496
Ru 2.0870 1.2049 3.9496
Br 0.0000 0.0000 0.0000
Br -2.0870 -1.2049 7.8991
Br -2.0870 1.2049 15.7982
Br 0.0000 2.4099 7.8991
```

Properties
The value obtained for the formation energy from raw total energies is -1.00 eV/atom. The density of states at the Fermi level is 9.56 states/eV/cell.

***

# 18
VASP calculation (PBE-GGA) on a geometry-optimized La6Ir2SBr3 structure.

```
12
Lattice="3.6855 -6.3852 0.0000 3.6855 6.3852 0.0000 -2.4469 0.0000 7.7374" Properties=species:S:1:pos:R:3 pbc="T T T"
La -0.0501 2.2156 6.1876
La 1.1254 0.0000 1.5420
La -0.0501 -2.2156 6.1876
La 4.9741 2.2156 1.5498
La 3.7987 0.0000 6.1954
La 4.9741 -2.2156 1.5498
Ir 3.6855 4.2494 0.0000
Ir 3.6855 -4.2494 0.0000
S 3.6855 0.0000 0.0000
Br -1.2235 0.0000 3.8687
Br 2.4620 2.0746 3.8687
Br 2.4620 -2.0746 3.8687
```

Properties
The value obtained for the formation energy from raw total energies is -1.39 eV/atom. The density of states at the Fermi level is 6.33 states/eV/cell.

***

# 19
VASP calculation (PBE-GGA) on a geometry-optimized La8Ir3SBr4 structure.

```
16
Lattice="4.2462 2.4515 7.7849 -4.2462 2.4515 7.7849 0.0000 -4.9030 7.7849" Properties=species:S:1:pos:R:3 pbc="T T T"
La -2.1963 -1.2680 13.2296
La 0.0000 0.0000 5.4210
La 0.0000 -2.5360 10.1252
La -2.1963 1.2680 10.1252
La 2.1963 -1.2680 13.2296
La 0.0000 2.5360 13.2296
La 0.0000 0.0000 17.9338
La 2.1963 1.2680 10.1252
Ir -4.2462 0.0000 11.6774
Ir -2.1231 1.2258 3.8925
Ir 2.1231 1.2258 3.8925
S 0.0000 0.0000 11.6774
Br 0.0000 0.0000 0.0000
Br -2.1231 -1.2258 7.7849
Br -2.1231 1.2258 15.5699
Br 0.0000 2.4515 7.7849
```

Properties
The value obtained for the formation energy from raw total energies is -1.33 eV/atom. The density of states at the Fermi level is 10.23 states/eV/cell.

***

# 20
VASP calculation (PBE-GGA) on a geometry-optimized La8IrS3Br4 structure.

```
16
Lattice="4.2030 2.4266 7.3575 -4.2030 2.4266 7.3575 0.0000 -4.8532 7.3575" Properties=species:S:1:pos:R:3 pbc="T T T"
La 0.0000 0.0000 5.2212
La -2.0931 -1.2084 12.5923
La 0.0000 -2.4169 9.4802
La -2.0931 1.2084 9.4802
La 2.0931 -1.2084 12.5923
La 0.0000 2.4169 12.5923
La 2.0931 1.2084 9.4802
La 0.0000 0.0000 16.8513
Ir 0.0000 0.0000 11.0363
S -4.2030 0.0000 11.0362
S -2.1015 1.2133 3.6787
S 2.1015 1.2133 3.6788
Br 0.0000 0.0000 0.0000
Br -2.1015 -1.2133 7.3575
Br -2.1015 1.2133 14.7150
Br 0.0000 2.4266 7.3575
```

Properties
The value obtained for the formation energy from raw total energies is -1.60 eV/atom. The density of states at the Fermi level is 14.30 states/eV/cell.

***

Quick rundown of M_tot, same order as above: 0.00, 0.00, 0.00, 0.00, 0.00, 0.00, 0.00, 0.00, 0.00, 0.00, 0.00, 0.00, 0.00, 0.00, 0.00, 0.11, 0.00, 0.00, 0.00, 0.00 μB per formula unit